Here is a relaxed Lu2Mn12P7 crystal from Alexandria via LeMat-Bulk. Energies are from PBE.

The value obtained for the spin magnetization is 16.1 μB per formula unit. The calculation puts the mass density at 7.688 g/cm3. The formation energy is -1432 kJ/mol of formula units.

The space group is P-6 (No. 174) and the conventional cell measures 9.2481, 9.2481 and 3.5750 Å, with angles of 90.00, 90.00 and 120.00 degrees. The distinct sites, in fractional coordinates, are Lu at (0.0000, 0.0000, 0.0000), Lu at (0.3333, 0.6667, 0.5000), Mn at (0.0609, 0.7719, 0.5000), Mn at (0.0916, 0.3822, 0.0000), Mn at (0.3895, 0.2143, 0.0000), Mn at (0.5420, 0.1060, 0.5000), P at (0.0801, 0.6246, 0.0000), P at (0.2565, 0.0533, 0.5000) and P at (0.6667, 0.3333, 0.0000).